(1)
CaCdSe2: optimized geometry, PBE.

Structure (POSCAR):
```
CaCdSe2
1.0
4.141 0.000 0.000
0.000 4.141 0.000
0.000 0.000 5.876
Ca Cd Se
1 1 2
Direct
0.000 0.000 0.000
0.500 0.500 0.500
0.000 0.000 0.500
0.500 0.500 0.000
```

Values from the calculation:
Total energy in eV per atom: -3.71
Raw formation energy in eV/atom: -1.23
Total magnetic moment in μB/atom: 0.000
D(E_F) in states/eV/f.u.: 1.2

(2)
Sm2ScBe3Pt4: optimized geometry, PBE.

Structure (POSCAR):
```
Sm2ScBe3Pt4
1.0
4.040 0.000 0.000
0.000 4.040 0.000
0.000 0.000 10.624
Sm Sc Be Pt
2 1 3 4
Direct
0.000 0.500 0.230
0.500 0.000 0.770
0.000 0.000 0.500
0.000 0.500 0.888
0.500 0.000 0.112
0.500 0.500 0.500
0.000 0.000 0.000
0.000 0.500 0.660
0.500 0.000 0.340
0.500 0.500 0.000
```

Values from the calculation:
ΔE_f in eV/atom: -0.9006
Total energy in eV per atom: -6.01
Total magnetic moment in μB/atom: 0.000
D(E_F) in states/eV/f.u.: 5.0

(3)
HfTiI2O: optimized geometry, PBE.

Structure (POSCAR):
```
HfTiI2O
1.0
5.668 0.000 0.000
0.000 5.668 0.000
0.000 0.000 3.679
Hf Ti I O
1 1 2 1
Direct
0.000 0.000 0.000
0.500 0.500 0.500
0.000 0.500 0.500
0.500 0.000 0.500
0.500 0.500 0.000
```

Values from the calculation:
Total energy in eV per atom: -5.69
Raw formation energy in eV/atom: -0.50
Excess energy over the best structure of this formula in the dataset in meV/atom: 117.2
Total magnetic moment in μB/atom: 0.299
D(E_F) in states/eV/f.u.: 6.0

(4)
SbTe2PdW: optimized geometry, PBE.

Structure (POSCAR):
```
SbTe2PdW
1.0
5.740 0.000 0.000
0.000 5.740 0.000
0.000 0.000 5.194
Sb Te Pd W
1 2 1 1
Direct
0.000 0.000 0.000
0.000 0.500 0.000
0.500 0.000 0.000
0.500 0.500 0.500
0.000 0.000 0.500
```

Values from the calculation:
Total energy in eV per atom: -4.01
Raw formation energy in eV/atom: 1.70
Excess energy over the best structure of this formula in the dataset in meV/atom: 846.0
Total magnetic moment in μB/atom: 0.609
D(E_F) in states/eV/f.u.: 5.8

(5)
Sm2B10Os: optimized geometry, PBE.

Structure (POSCAR):
```
Sm2B10Os
1.0
5.750 0.000 0.000
0.000 11.438 0.000
0.000 0.000 4.210
Sm B Os
4 20 2
Direct
0.221 0.131 0.000
0.279 0.631 0.000
0.721 0.369 0.000
0.779 0.869 0.000
0.057 0.308 0.500
0.120 0.958 0.500
0.135 0.803 0.500
0.222 0.381 0.200
0.222 0.381 0.800
0.278 0.881 0.200
0.278 0.881 0.800
0.365 0.303 0.500
0.380 0.458 0.500
0.443 0.808 0.500
0.557 0.192 0.500
0.620 0.542 0.500
0.635 0.697 0.500
0.722 0.119 0.200
0.722 0.119 0.800
0.778 0.619 0.200
0.778 0.619 0.800
0.865 0.197 0.500
0.880 0.042 0.500
0.943 0.692 0.500
0.000 0.500 0.500
0.500 0.000 0.500
```

Values from the calculation:
ΔE_f in eV/atom: -0.4898
Total energy in eV per atom: -7.22
Total magnetic moment in μB/atom: 0.000
D(E_F) in states/eV/f.u.: 1.5

(6)
Ho12Ru3N5: optimized geometry, PBE.

Structure (POSCAR):
```
Ho12Ru3N5
1.0
-7.534 7.534 7.534
7.534 -7.534 7.534
7.534 7.534 -7.534
Ho Ru N
48 12 20
Direct
0.024 0.205 0.122
0.024 0.319 0.902
0.083 0.705 0.681
0.083 0.878 0.402
0.098 0.622 0.417
0.098 0.976 0.681
0.122 0.024 0.205
0.122 0.598 0.917
0.181 0.205 0.583
0.181 0.476 0.598
0.205 0.122 0.024
0.205 0.583 0.181
0.295 0.319 0.917
0.295 0.476 0.378
0.319 0.902 0.024
0.319 0.917 0.295
0.378 0.295 0.476
0.378 0.583 0.902
0.402 0.083 0.878
0.402 0.819 0.524
0.417 0.098 0.622
0.417 0.819 0.795
0.476 0.378 0.295
0.476 0.598 0.181
0.524 0.402 0.819
0.524 0.622 0.705
0.583 0.181 0.205
0.583 0.902 0.378
0.598 0.181 0.476
0.598 0.917 0.122
0.622 0.417 0.098
0.622 0.705 0.524
0.681 0.083 0.705
0.681 0.098 0.976
0.705 0.524 0.622
0.705 0.681 0.083
0.795 0.417 0.819
0.795 0.878 0.976
0.819 0.524 0.402
0.819 0.795 0.417
0.878 0.402 0.083
0.878 0.976 0.795
0.902 0.024 0.319
0.902 0.378 0.583
0.917 0.122 0.598
0.917 0.295 0.319
0.976 0.681 0.098
0.976 0.795 0.878
0.125 0.250 0.375
0.125 0.375 0.750
0.250 0.375 0.125
0.250 0.875 0.625
0.375 0.125 0.250
0.375 0.750 0.125
0.625 0.250 0.875
0.625 0.875 0.750
0.750 0.125 0.375
0.750 0.625 0.875
0.875 0.625 0.250
0.875 0.750 0.625
0.000 0.000 0.000
0.000 0.000 0.500
0.000 0.500 0.000
0.000 0.500 0.500
0.125 0.750 0.875
0.125 0.875 0.250
0.250 0.125 0.875
0.250 0.625 0.375
0.375 0.250 0.625
0.375 0.625 0.750
0.500 0.000 0.000
0.500 0.000 0.500
0.500 0.500 0.000
0.500 0.500 0.500
0.625 0.375 0.250
0.625 0.750 0.375
0.750 0.375 0.625
0.750 0.875 0.125
0.875 0.125 0.750
0.875 0.250 0.125
```

Values from the calculation:
Total energy in eV per atom: -7.07
Raw formation energy in eV/atom: -0.85
Total magnetic moment in μB/atom: 0.000
D(E_F) in states/eV/f.u.: 12.5

(7)
CeInGe2: optimized geometry, PBE.

Structure (POSCAR):
```
CeInGe2
1.0
2.386 1.377 7.225
-2.386 1.377 7.225
0.000 -2.755 7.225
Ce In Ge
1 1 2
Direct
0.000 0.000 0.000
0.500 0.500 0.500
0.380 0.380 0.380
0.620 0.620 0.620
```

Values from the calculation:
ΔE_f in eV/atom: 0.1883
Total energy in eV per atom: -4.29
Total magnetic moment in μB/atom: 0.130
D(E_F) in states/eV/f.u.: 5.3

(8)
TbSmZnRh: optimized geometry, PBE.

Structure (POSCAR):
```
TbSmZnRh
1.0
4.405 0.000 0.000
0.000 1.960 5.360
0.000 -1.960 5.360
Tb Sm Zn Rh
1 1 1 1
Direct
0.000 0.000 0.000
0.500 0.279 0.279
0.000 0.709 0.709
0.500 0.563 0.563
```

Values from the calculation:
ΔE_f in eV/atom: -0.5707
Total energy in eV per atom: -5.06
Excess energy over the best structure of this formula in the dataset in meV/atom: 0.0
Total magnetic moment in μB/atom: 0.000
D(E_F) in states/eV/f.u.: 3.0